Ba2PmSnPd6 | PBE | relaxed

Lattice parameters (Å, degrees): 10.398 10.398 10.398 90.00 90.00 90.00
Space group Fm-3m (No. 225)
Symmetry-distinct sites (fractional):
Ba 0.250 0.250 0.250 (multiplicity 8)
Pm 0.000 0.000 0.000 (multiplicity 4)
Sn 0.000 0.000 0.500 (multiplicity 4)
Pd 0.000 0.000 0.254 (multiplicity 24)

Properties
Crystal system: cubic
Volume, Å³/cell: 1124.3
E_form, eV/atom: -0.18
Density, kg/m3: 6953
Magnetization, μB/cell: 0.00